Entry from Alexandria via LeMat-Bulk: crystalline ErMnIn2 at its relaxed geometry (GGA-PBE).

Summary:
- N(E_F) (states/eV/f.u.) = 3.5
- ΔE_f (meV/atom) = -43
- SG = R-3m, No. 166

Cell: 4.600 4.600 5.752 Å, 66.43 66.43 60.00°
Each line ends with the local moment (μB).
Element x y z (fractional)
Mn 0.500 0.500 0.500  3.58
Er 0.000 0.000 0.000  -0.15
In 0.773 0.773 0.680  -0.04
In 0.227 0.227 0.320  -0.04

=====

Entry from Alexandria via LeMat-Bulk: crystalline Er6Mn2In at its relaxed geometry (GGA-PBE).

Summary:
- N(E_F) (states/eV/f.u.) = 9.0
- ΔE_f (meV/atom) = -99
- SG = Immm, No. 71

Cell: 8.359 8.359 8.359 Å, 107.30 110.14 110.99°
Each line ends with the local moment (μB).
Element x y z (fractional)
Mn 0.500 0.394 0.894  0.99
Mn 0.386 0.000 0.386  1.50
Mn 0.500 0.606 0.106  0.99
Mn 0.614 0.000 0.614  1.50
Er 0.782 0.232 0.014  0.02
Er 0.522 0.713 0.809  -0.10
Er 0.218 0.768 0.986  0.02
Er 0.293 0.981 0.688  -0.09
Er 0.293 0.605 0.312  -0.09
Er 0.218 0.232 0.450  0.02
Er 0.782 0.768 0.550  0.02
Er 0.905 0.713 0.191  -0.10
Er 0.707 0.019 0.312  -0.09
Er 0.478 0.287 0.191  -0.10
Er 0.095 0.287 0.809  -0.10
Er 0.707 0.395 0.688  -0.09
In 0.000 0.000 0.000  0.00
In 0.000 0.500 0.500  0.01